No. 1
BeSbOs2 after structural relaxation, computed with PBE.

Its raw total energy is -28.83 eV per cell. Its formation energy from raw total energies is 8.5 kcal/mol of atoms. As for the energy relative to the lowest polymorph listed for this composition: 0.0563 eV/atom.

The space group is P2/m (No. 10) and the conventional cell measures 2.985, 3.737 and 5.420 Å, with angles of 90.00, 103.90 and 90.00 degrees. The inequivalent atoms are Be at (0.000, 0.000, 0.000), Sb at (0.000, 0.000, 0.500) and Os at (0.353, 0.500, 0.216).



No. 2
Tb2SiRh after structural relaxation, computed with PBE.

Its raw total energy is -24.76 eV per cell. Its formation energy from raw total energies is -15.7 kcal/mol of atoms.

The space group is P4/mmm (No. 123) and the conventional cell measures 4.749, 4.749 and 3.736 Å, with angles of 90.00, 90.00 and 90.00 degrees. The inequivalent atoms are Tb at (0.000, 0.500, 0.000), Si at (0.000, 0.000, 0.500) and Rh at (0.500, 0.500, 0.500).



No. 3
Pr4MgRu after structural relaxation, computed with PBE.

Its raw total energy is -121.93 eV per cell. For the energy of formation from the pure elements, the calculation gives -0.08 eV/atom. As for the energy relative to the lowest polymorph listed for this composition: 0.0870 eV/atom.

The space group is C2/m (No. 12) and the conventional cell measures 16.926, 7.644 and 6.201 Å, with angles of 90.00, 111.45 and 90.00 degrees. The inequivalent atoms are Pr at (0.000, 0.208, 0.000), Pr at (0.118, 0.255, 0.618), Pr at (0.180, 0.500, 0.179), Mg at (0.196, 0.000, 0.196) and Ru at (0.000, 0.500, 0.260).



No. 4
PaTcC after structural relaxation, computed with PBE.

Its raw total energy is -56.63 eV per cell. For the energy of formation from the pure elements, the calculation gives 0.26 eV/atom. As for the energy relative to the lowest polymorph listed for this composition: 0.3709 eV/atom.

The space group is I4mm (No. 107) and the conventional cell measures 2.943, 2.943 and 10.041 Å, with angles of 90.00, 90.00 and 90.00 degrees. The inequivalent atoms are Pa at (0.000, 0.000, 0.000), Tc at (0.000, 0.000, 0.276) and C at (0.000, 0.000, 0.698).



No. 5
BeRhW2 after structural relaxation, computed with PBE.

Its raw total energy is -37.02 eV per cell. For the energy of formation from the pure elements, the calculation gives -0.01 eV/atom.

The space group is P4/mmm (No. 123) and the conventional cell measures 2.737, 2.737 and 7.298 Å, with angles of 90.00, 90.00 and 90.00 degrees. The inequivalent atoms are Be at (0.000, 0.000, 0.000), Rh at (0.000, 0.000, 0.500) and W at (0.500, 0.500, 0.228).



No. 6
NpZn12Ga6 after structural relaxation, computed with PBE.

Its raw total energy is -132.01 eV per cell. For the energy of formation from the pure elements, the calculation gives 0.13 eV/atom.

The space group is R-3m (No. 166, hexagonal axes) and the conventional cell measures 11.5228, 11.5228 and 8.9248 Å, with angles of 90.00, 90.00 and 120.00 degrees. The inequivalent atoms are Np at (0.0000, 0.0000, 0.0000), Zn at (0.0000, 0.3934, 0.5000), Zn at (0.0790, 0.1581, 0.3006) and Ga at (0.0422, 0.5211, 0.2338).



No. 7
Sr2LiH12Rh3 after structural relaxation, computed with PBE.

Its raw total energy is -223.44 eV per cell.

The space group is R-3m (No. 166, hexagonal axes) and the conventional cell measures 6.3374, 6.3374 and 14.5671 Å, with angles of 90.00, 90.00 and 120.00 degrees. The inequivalent atoms are Sr at (0.0000, 0.0000, 0.1227), Li at (0.0000, 0.0000, 0.5000), H at (0.0147, 0.5074, 0.1137), H at (0.0384, 0.5192, 0.3378) and Rh at (0.0000, 0.5000, 0.0000).



No. 8
UNb2N after structural relaxation, computed with PBE.

Its raw total energy is -120.25 eV per cell. Its formation energy from raw total energies is -1.9 kcal/mol of atoms. As for the energy relative to the lowest polymorph listed for this composition: 0.0000 eV/atom.

The space group is R-3m (No. 166, hexagonal axes) and the conventional cell measures 3.0647, 3.0647 and 24.6427 Å, with angles of 90.00, 90.00 and 120.00 degrees. The inequivalent atoms are U at (0.0000, 0.0000, 0.0000), Nb at (0.0000, 0.0000, 0.1150) and N at (0.0000, 0.0000, 0.5000).



No. 9
Gd2TlTc after structural relaxation, computed with PBE.

Its raw total energy is -122.42 eV per cell. For the energy of formation from the pure elements, the calculation gives 0.02 eV/atom.

The space group is R-3m (No. 166, hexagonal axes) and the conventional cell measures 3.5483, 3.5483 and 28.3039 Å, with angles of 90.00, 90.00 and 120.00 degrees. The inequivalent atoms are Gd at (0.0000, 0.0000, 0.2374), Tl at (0.0000, 0.0000, 0.0000) and Tc at (0.0000, 0.0000, 0.5000).



No. 10
MnZnCl after structural relaxation, computed with PBE.

Its raw total energy is -45.30 eV per cell. Its formation energy from raw total energies is 7.4 kcal/mol of atoms. As for the energy relative to the lowest polymorph listed for this composition: 0.4541 eV/atom.

The space group is F-43m (No. 216) and the conventional cell measures 6.343, 6.343 and 6.343 Å, with angles of 90.00, 90.00 and 90.00 degrees. The inequivalent atoms are Mn at (0.000, 0.000, 0.000), Zn at (0.250, 0.250, 0.250) and Cl at (0.250, 0.250, 0.750).



No. 11
AcNdOsPd after structural relaxation, computed with PBE.

Its raw total energy is -105.16 eV per cell. For the energy of formation from the pure elements, the calculation gives -0.25 eV/atom.

The space group is F-43m (No. 216) and the conventional cell measures 7.301, 7.301 and 7.301 Å, with angles of 90.00, 90.00 and 90.00 degrees. The inequivalent atoms are Ac at (0.000, 0.000, 0.000), Nd at (0.000, 0.000, 0.500), Os at (0.250, 0.250, 0.750) and Pd at (0.250, 0.250, 0.250).



No. 12
LaGa3AgPd after structural relaxation, computed with PBE.

Its raw total energy is -97.52 eV per cell. For the energy of formation from the pure elements, the calculation gives -0.39 eV/atom.

The space group is Cmcm (No. 63) and the conventional cell measures 5.946, 13.336 and 6.193 Å, with angles of 90.00, 90.00 and 90.00 degrees. The inequivalent atoms are La at (0.000, 0.204, 0.250), Ga at (0.000, 0.372, 0.750), Ga at (0.216, 0.000, 0.000), Ag at (0.000, 0.158, 0.750) and Pd at (0.000, 0.411, 0.250).



No. 13
SrCr4In after structural relaxation, computed with PBE.

Its raw total energy is -153.78 eV per cell. For the energy of formation from the pure elements, the calculation gives 0.74 eV/atom.

The space group is F-43m (No. 216) and the conventional cell measures 7.344, 7.344 and 7.344 Å, with angles of 90.00, 90.00 and 90.00 degrees. The inequivalent atoms are Sr at (0.000, 0.000, 0.000), Cr at (0.127, 0.127, 0.627) and In at (0.250, 0.250, 0.250).



No. 14
Ac4BSb2 after structural relaxation, computed with PBE.

Its raw total energy is -69.91 eV per cell. Its formation energy from raw total energies is -11.9 kcal/mol of atoms.

The space group is I4/mmm (No. 139) and the conventional cell measures 5.366, 5.366 and 17.423 Å, with angles of 90.00, 90.00 and 90.00 degrees. The inequivalent atoms are Ac at (0.000, 0.000, 0.168), Ac at (0.000, 0.500, 0.000), B at (0.000, 0.000, 0.000) and Sb at (0.000, 0.000, 0.364).



No. 15
Ac6Bi2Te3Pb after structural relaxation, computed with PBE.

Its raw total energy is -120.12 eV per cell. Its formation energy from raw total energies is -27.9 kcal/mol of atoms.

The space group is C2/m (No. 12) and the conventional cell measures 20.960, 4.839 and 9.598 Å, with angles of 90.00, 102.64 and 90.00 degrees. The inequivalent atoms are Ac at (0.000, 0.000, 0.242), Ac at (0.163, 0.500, 0.083), Ac at (0.167, 0.500, 0.581), Bi at (0.167, 0.000, 0.334), Te at (0.000, 0.500, 0.500), Te at (0.168, 0.000, 0.833) and Pb at (0.000, 0.500, 0.000).



No. 16
Tl4Si3BiAu12 after structural relaxation, computed with PBE.

Its raw total energy is -133.85 eV per cell. Its formation energy from raw total energies is 2.3 kcal/mol of atoms.

The space group is Im-3m (No. 229) and the conventional cell measures 10.068, 10.068 and 10.068 Å, with angles of 90.00, 90.00 and 90.00 degrees. The inequivalent atoms are Tl at (0.250, 0.250, 0.250), Si at (0.000, 0.000, 0.500), Bi at (0.000, 0.000, 0.000), Au at (0.000, 0.000, 0.269) and Au at (0.000, 0.250, 0.500).



No. 17
Ac2MgNpS6 after structural relaxation, computed with PBE.

Its raw total energy is -130.25 eV per cell. Its formation energy from raw total energies is -40.6 kcal/mol of atoms.

The space group is P2_1/c (No. 14) and the conventional cell measures 6.833, 7.437 and 11.941 Å, with angles of 90.00, 123.80 and 90.00 degrees. The inequivalent atoms are Ac at (0.218, 0.088, 0.248), Mg at (0.000, 0.000, 0.500), Np at (0.500, 0.000, 0.000), S at (0.128, 0.193, 0.944), S at (0.256, 0.690, 0.944) and S at (0.357, 0.031, 0.744).



No. 18
ZnAs3Ru after structural relaxation, computed with PBE.

Its raw total energy is -18.56 eV per cell. For the energy of formation from the pure elements, the calculation gives 1.19 eV/atom. As for the energy relative to the lowest polymorph listed for this composition: 0.6554 eV/atom.

The space group is Pm-3m (No. 221) and the conventional cell measures 4.695, 4.695 and 4.695 Å, with angles of 90.00, 90.00 and 90.00 degrees. The inequivalent atoms are Zn at (0.000, 0.000, 0.000), As at (0.000, 0.000, 0.500) and Ru at (0.500, 0.500, 0.500).



No. 19
Rb2TiS2 after structural relaxation, computed with PBE.

Its raw total energy is -94.00 eV per cell. Its formation energy from raw total energies is -25.0 kcal/mol of atoms.

The space group is Ibam (No. 72) and the conventional cell measures 7.405, 13.286 and 6.133 Å, with angles of 90.00, 90.00 and 90.00 degrees. The inequivalent atoms are Rb at (0.152, 0.152, 0.000), Ti at (0.000, 0.500, 0.250) and S at (0.183, 0.404, 0.000).



No. 20
MgTl2MoPt after structural relaxation, computed with PBE.

Its raw total energy is -19.64 eV per cell. For the energy of formation from the pure elements, the calculation gives 0.71 eV/atom.

The space group is P4/mmm (No. 123) and the conventional cell measures 5.425, 5.425 and 4.827 Å, with angles of 90.00, 90.00 and 90.00 degrees. The inequivalent atoms are Mg at (0.000, 0.000, 0.000), Tl at (0.000, 0.500, 0.500), Mo at (0.500, 0.500, 0.500) and Pt at (0.500, 0.500, 0.000).